(1)
# AcMgSbAu

A relaxed AcMgSbAu crystal (PBE, the Alexandria database).

Calculated values
Final energy ... -3.877 eV/atom
SG ... F-43m

Unit cell a=5.387 b=5.387 c=5.387 alpha=60.00 beta=60.00 gamma=60.00
Element x y z (fractional)
Mg 0.750 0.750 0.750
Au 0.000 0.000 0.000
Ac 0.250 0.250 0.250
Sb 0.500 0.500 0.500

=====

(2)
# AgSeO4

A relaxed AgSeO4 crystal (PBE, the Alexandria database).

Calculated values
Final energy ... -4.706 eV/atom
SG ... P2_1/c

Unit cell a=4.775 b=4.761 c=16.209 alpha=90.03 beta=90.00 gamma=90.00
Element x y z (fractional)
O 0.795 0.036 0.424
O 0.705 0.036 0.924
O 0.669 0.441 0.802
O 0.225 0.453 0.427
O 0.275 0.453 0.927
O 0.794 0.946 0.696
O 0.294 0.054 0.804
O 0.331 0.559 0.198
O 0.775 0.547 0.573
O 0.206 0.054 0.304
O 0.205 0.964 0.576
O 0.831 0.441 0.302
O 0.169 0.559 0.698
O 0.725 0.547 0.073
O 0.706 0.946 0.196
O 0.295 0.964 0.076
Ag 0.519 0.747 0.331
Ag 0.981 0.747 0.831
Ag 0.481 0.253 0.669
Ag 0.019 0.253 0.169
Se 0.015 0.246 0.373
Se 0.485 0.246 0.873
Se 0.515 0.754 0.127
Se 0.985 0.754 0.627

=====

(3)
# LiReHg

A relaxed LiReHg crystal (PBE, the Alexandria database).

Calculated values
Final energy ... -4.400 eV/atom
Energy of formation from the pure elements ... 0.488 eV/atom
SG ... I4mm

Unit cell a=7.142 b=7.142 c=7.142 alpha=158.23 beta=158.23 gamma=30.98
Element x y z (fractional)
Re 0.676 0.676 0.000
Li 0.330 0.330 0.000
Hg 0.995 0.995 0.000